## Y2ScO (PBE)

Data for a relaxed Y2ScO crystal.

Values from the calculation:
The calculation puts the formation energy (no corrections) at -1.19 eV/atom. The uncorrected energy is -7.25 eV per atom.

Cell: 6.924 6.924 8.897 Å, 90.00 90.00 90.00°
Space group I-42d (No. 122)
One atom of each set of equivalent atoms:
Y: 0.108 0.250 0.125 (multiplicity 8)
Sc: 0.000 0.000 0.500 (multiplicity 4)
O: 0.000 0.000 0.000 (multiplicity 4)



## Ti2NiGe2 (PBE)

Data for a relaxed Ti2NiGe2 crystal.

Values from the calculation:
The uncorrected energy is -6.68 eV per atom. Its energy of formation is -515 meV/atom.

Cell: 4.020 13.561 5.741 Å, 90.00 90.00 90.00°
Space group Cmc2_1 (No. 36)
One atom of each set of equivalent atoms:
Ti: 0.000 0.004 0.000 (multiplicity 4)
Ti: 0.000 0.198 0.297 (multiplicity 4)
Ni: 0.000 0.395 0.149 (multiplicity 4)
Ge: 0.000 0.177 0.790 (multiplicity 4)
Ge: 0.000 0.429 0.745 (multiplicity 4)



## Sr4Np3BeN8 (PBE)

Data for a relaxed Sr4Np3BeN8 crystal.

Values from the calculation:
The calculation puts the formation energy (no corrections) at -0.78 eV/atom. The uncorrected energy is -8.02 eV per atom.

Cell: 12.256 6.836 7.112 Å, 90.00 123.66 90.00°
Space group C2/m (No. 12)
One atom of each set of equivalent atoms:
Sr: 0.000 0.000 0.000 (multiplicity 2)
Sr: 0.000 0.500 0.000 (multiplicity 2)
Sr: 0.250 0.250 0.000 (multiplicity 4)
Np: 0.000 0.000 0.500 (multiplicity 2)
Np: 0.250 0.250 0.500 (multiplicity 4)
Be: 0.000 0.500 0.500 (multiplicity 2)
N: 0.020 0.247 0.309 (multiplicity 8)
N: 0.236 0.000 0.702 (multiplicity 4)
N: 0.249 0.000 0.293 (multiplicity 4)